No. 1
A plane-wave DFT calculation with PBE+U was carried out for a relaxed structure of Ba3Fe2Cl2O5.

abc: 8.7988 8.7988 8.7988
angles: 109.47 109.47 109.47
Closest atoms and distances in Å follow each position.
Element x y z (fractional)
Ba 0.0927 0.8427 0.2500  3 O 2.66-2.67
Ba 0.2500 0.0927 0.8427  3 O 2.66-2.67
Ba 0.4073 0.6573 0.7500  3 O 2.66-2.67
Ba 0.6573 0.7500 0.4073  3 O 2.66-2.67
Ba 0.7500 0.4073 0.6573  3 O 2.66-2.67
Ba 0.8427 0.2500 0.0927  3 O 2.66-2.67
Fe 0.0000 0.1921 0.5000  4 O 1.86-1.91
Fe 0.1921 0.5000 0.0000  4 O 1.86-1.91
Fe 0.3079 0.3079 0.3079  4 O 1.86-1.91
Fe 0.5000 0.0000 0.1921  4 O 1.86-1.91
Cl 0.0000 0.6155 0.5000  4 O 3.22-3.59, 6 Ba 3.34-3.54
Cl 0.5000 0.0000 0.6155  4 O 3.22-3.59, 6 Ba 3.34-3.54
Cl 0.6155 0.5000 0.0000  4 O 3.22-3.59, 6 Ba 3.34-3.54
Cl 0.8845 0.8845 0.8845  4 O 3.22-3.59, 6 Ba 3.34-3.54
O 0.0000 0.9809 0.5000  1 Fe 1.86
O 0.1050 0.2500 0.3550  2 Fe 1.91
O 0.1450 0.3950 0.7500  2 Fe 1.91
O 0.2500 0.3550 0.1050  2 Fe 1.91
O 0.3550 0.1050 0.2500  2 Fe 1.91
O 0.3950 0.7500 0.1450  2 Fe 1.91
O 0.5000 0.0000 0.9809  1 Fe 1.86
O 0.5191 0.5191 0.5191  1 Fe 1.86
O 0.7500 0.1450 0.3950  2 Fe 1.91
O 0.9809 0.5000 0.0000  1 Fe 1.86

Summary:
M_tot in Bohr magnetons per cell: 20.00
SG: I2_13 (199)
Uncorrected energy in eV/atom: -6.006

---

No. 2
A plane-wave DFT calculation with PBE+U was carried out for a relaxed structure of BaFeClO2.

abc: 7.4196 7.4196 5.4741
angles: 90.00 90.00 133.76
Closest atoms and distances in Å follow each position.
Element x y z (fractional)
Ba 0.1295 0.8705 0.7500  4 O 2.77
Ba 0.8705 0.1295 0.2500  4 O 2.77
Fe 0.4913 0.5087 0.7500  4 O 1.87
Fe 0.5087 0.4913 0.2500  4 O 1.87
Cl 0.2536 0.7464 0.2500  4 Ba 3.22-3.32, 1 Fe 3.48
Cl 0.7464 0.2536 0.7500  4 Ba 3.22-3.32, 1 Fe 3.48
O 0.2817 0.2817 0.0000  2 Fe 1.87
O 0.2817 0.2817 0.5000  2 Fe 1.87
O 0.7183 0.7183 0.0000  2 Fe 1.87
O 0.7183 0.7183 0.5000  2 Fe 1.87

Summary:
M_tot in Bohr magnetons per cell: 6.04
SG: Cmcm (63)
Uncorrected energy in eV/atom: -5.842